No. 1
VASP calculation (GGA-PBE) on Tm8Sc after structural relaxation.

Calculated values
**D(E_F)**: 1.393 states/eV per atom
**ΔH_f (0 K)**: 0.32 eV per formula unit

```
data_Tm8Sc
_space_group_name_H-M_alt 'I 4/m m m'
_space_group_IT_number 139
_space_group_name_Hall '-I 4 2'
_cell_length_a 10.3937
_cell_length_b 10.3937
_cell_length_c 4.8919
_cell_angle_alpha 90.00
_cell_angle_beta 90.00
_cell_angle_gamma 90.00
loop_
_atom_site_label
_atom_site_fract_x
_atom_site_fract_y
_atom_site_fract_z
Tm1 0.0000 0.3314 0.0000
Tm2 0.1649 0.1649 0.5000
Sc1 0.0000 0.0000 0.0000
```


No. 2
VASP calculation (GGA-PBE) on FeSbIr2 after structural relaxation.

Calculated values
**D(E_F)**: 1.203 states/eV per atom
**E_form (uncorrected)**: 0.323 eV/atom

```
data_FeSbIr2
_space_group_name_H-M_alt 'P 4 m m'
_space_group_IT_number 99
_space_group_name_Hall 'P 4 -2'
_cell_length_a 2.9788
_cell_length_b 2.9788
_cell_length_c 7.1343
_cell_angle_alpha 90.00
_cell_angle_beta 90.00
_cell_angle_gamma 90.00
loop_
_atom_site_label
_atom_site_fract_x
_atom_site_fract_y
_atom_site_fract_z
Fe1 0.0000 0.0000 0.0000
Sb1 0.5000 0.5000 0.7298
Ir1 0.0000 0.0000 0.4740
Ir2 0.5000 0.5000 0.2110
```


No. 3
VASP calculation (GGA-PBE) on Cd2TeP after structural relaxation.

Calculated values
**D(E_F)**: 0.317 states/eV per atom
**E_form (uncorrected)**: 0.205 eV/atom
**ΔE to the lowest computed polymorph**: 271.6 meV per atom

```
data_Cd2TeP
_space_group_name_H-M_alt 'P 4/m m m'
_space_group_IT_number 123
_space_group_name_Hall '-P 4 2'
_cell_length_a 4.0607
_cell_length_b 4.0607
_cell_length_c 5.9328
_cell_angle_alpha 90.00
_cell_angle_beta 90.00
_cell_angle_gamma 90.00
loop_
_atom_site_label
_atom_site_fract_x
_atom_site_fract_y
_atom_site_fract_z
Cd1 0.0000 0.0000 0.0000
Cd2 0.5000 0.5000 0.0000
Te1 0.0000 0.0000 0.5000
P1 0.5000 0.5000 0.5000
```


No. 4
VASP calculation (GGA-PBE) on Er2PuInO8 after structural relaxation.

Calculated values
**E_form (uncorrected)**: -2.665 eV/atom

```
data_Er2PuInO8
_space_group_name_H-M_alt 'C m m m'
_space_group_IT_number 65
_space_group_name_Hall '-C 2 2'
_cell_length_a 6.8990
_cell_length_b 7.2335
_cell_length_c 6.9122
_cell_angle_alpha 90.00
_cell_angle_beta 90.00
_cell_angle_gamma 90.00
loop_
_atom_site_label
_atom_site_fract_x
_atom_site_fract_y
_atom_site_fract_z
Er1 0.0000 0.0000 0.2421
Pu1 0.0000 0.5000 0.5000
In1 0.0000 0.5000 0.0000
O1 0.0000 0.3130 0.2795
O2 0.2025 0.0000 0.0000
O3 0.2099 0.0000 0.5000
```


No. 5
VASP calculation (GGA-PBE) on Ga2Sb2I after structural relaxation.

Calculated values
**D(E_F)**: 0.555 states/eV per atom
**E_form (uncorrected)**: -0.009 eV/atom
**ΔE to the lowest computed polymorph**: 0.0 meV per atom

```
data_Ga2Sb2I
_space_group_name_H-M_alt 'I 4/m m m'
_space_group_IT_number 139
_space_group_name_Hall '-I 4 2'
_cell_length_a 4.1838
_cell_length_b 4.1838
_cell_length_c 16.2510
_cell_angle_alpha 90.00
_cell_angle_beta 90.00
_cell_angle_gamma 90.00
loop_
_atom_site_label
_atom_site_fract_x
_atom_site_fract_y
_atom_site_fract_z
Ga1 0.0000 0.5000 0.2500
Sb1 0.0000 0.0000 0.1318
I1 0.0000 0.0000 0.5000
```


No. 6
VASP calculation (GGA-PBE) on LaHo2Lu after structural relaxation.

Calculated values
**D(E_F)**: 1.717 states/eV per atom
**ΔH_f (0 K)**: 0.16 eV per formula unit
**ΔE to the lowest computed polymorph**: 0.0 meV per atom

```
data_LaHo2Lu
_space_group_name_H-M_alt 'P 4/m m m'
_space_group_IT_number 123
_space_group_name_Hall '-P 4 2'
_cell_length_a 5.0200
_cell_length_b 5.0200
_cell_length_c 5.1049
_cell_angle_alpha 90.00
_cell_angle_beta 90.00
_cell_angle_gamma 90.00
loop_
_atom_site_label
_atom_site_fract_x
_atom_site_fract_y
_atom_site_fract_z
La1 0.0000 0.0000 0.0000
Ho1 0.0000 0.5000 0.5000
Lu1 0.5000 0.5000 0.0000
```


Which total DFT energy (no corrections) belongs to each record? In order, -4.6424, -7.2540, -2.3903, -8.1533, -3.1787, -4.6120 eV/atom.